# Sm4PuSi4

Sm4PuSi4 after structural relaxation (PBE, the Alexandria database).

```
Sm4PuSi4
1.0
-3.340 -4.728 1.212
6.178 -2.896 5.728
-3.986 4.501 6.574
Sm Si Pu
8 8 2
direct
0.637 0.925 0.705 Sm
0.363 0.295 0.925 Sm
0.637 0.075 0.295 Sm
0.863 0.425 0.205 Sm
0.863 0.575 0.795 Sm
0.137 0.205 0.575 Sm
0.363 0.705 0.075 Sm
0.137 0.795 0.425 Sm
0.146 0.870 0.739 Si
0.854 0.261 0.870 Si
0.646 0.761 0.370 Si
0.646 0.239 0.630 Si
0.354 0.370 0.239 Si
0.854 0.739 0.130 Si
0.146 0.130 0.261 Si
0.354 0.630 0.761 Si
0.500 0.500 0.500 Pu
0.000 0.000 0.000 Pu
```

## Properties
Energy: -6.497 eV per atom
E_form (uncorrected): -396 meV/atom
Space group: P4_2/n